No. 1
Material: CuBMoAu
Method: DFT, PBE-GGA
State: optimized geometry

Lattice parameters (Å, degrees): 4.248 4.248 4.248 60.00 60.00 60.00
Positions (direct):
Cu 0.000 0.000 0.000
B 0.750 0.750 0.750
Mo 0.500 0.500 0.500
Au 0.250 0.250 0.250

No. 2
Material: CuNiBAu
Method: DFT, PBE-GGA
State: optimized geometry

Lattice parameters (Å, degrees): 4.093 4.093 4.093 60.00 60.00 60.00
Positions (direct):
Cu 0.000 0.000 0.000
Ni 0.500 0.500 0.500
B 0.750 0.750 0.750
Au 0.250 0.250 0.250

No. 3
Material: CuNiBAu
Method: DFT, PBE-GGA
State: optimized geometry

Lattice parameters (Å, degrees): 4.063 4.063 4.063 60.00 60.00 60.00
Positions (direct):
Cu 0.000 0.000 0.000
Ni 0.250 0.250 0.250
B 0.750 0.750 0.750
Au 0.500 0.500 0.500

| no. | E above lowest polymorph (eV/atom) |
| --- | --- |
| 1 | 0.0000 |
| 2 | 0.0330 |
| 3 | 0.0000 |